A geometry-optimized Nd7Sm12Er structure, computed with GGA-PBE.

Offset from the most stable computed form (meV/atom): 385.8
D(E_F) (states/eV per atom): 1.389

The structure in extended XYZ format:
```
20
Lattice="9.417 0.000 -3.330 -4.709 8.156 -3.330 0.000 0.000 9.989" Properties=species:S:1:pos:R:3 pbc="T T T"
Nd 2.354 4.078 -3.330
Nd -2.354 4.078 3.330
Nd 4.709 0.000 3.330
Nd 2.354 4.078 1.665
Nd 0.000 0.000 4.994
Nd 4.709 0.000 -1.665
Nd -2.354 4.078 -1.665
Sm 1.228 6.151 3.324
Sm -3.543 6.151 -0.050
Sm 3.480 2.005 0.006
Sm 8.252 2.005 3.380
Sm 2.390 8.149 -3.380
Sm 4.705 4.139 3.335
Sm 2.319 0.007 6.709
Sm 0.004 4.016 -0.006
Sm 3.555 6.144 0.050
Sm 1.153 2.012 3.279
Sm 5.941 2.012 -3.324
Sm -1.232 6.144 6.653
Er 0.000 0.000 0.000
```

***

A geometry-optimized Nd8Sm6Er structure, computed with GGA-PBE.

Offset from the most stable computed form (meV/atom): 49.4
D(E_F) (states/eV per atom): 1.479

The structure in extended XYZ format:
```
15
Lattice="-6.001 -1.794 2.327 2.101 -9.139 -1.630 2.085 3.935 8.411" Properties=species:S:1:pos:R:3 pbc="T T T"
Nd -4.357 -0.670 4.270
Nd -1.945 -5.109 7.069
Nd -2.463 0.015 9.683
Nd 2.541 -6.328 4.838
Nd 0.129 -1.889 2.040
Nd 0.647 -7.012 -0.575
Nd -3.223 -2.011 7.124
Nd 1.407 -4.987 1.984
Sm -2.391 -6.819 1.198
Sm -0.848 -7.289 4.815
Sm -2.319 -3.776 3.730
Sm 0.575 -0.178 7.910
Sm -0.967 0.291 4.293
Sm 0.504 -3.222 5.378
Er -3.001 -0.897 1.163
```

***

A geometry-optimized NdSm3Er6 structure, computed with GGA-PBE.

Offset from the most stable computed form (meV/atom): 0.0
D(E_F) (states/eV per atom): 1.456

The structure in extended XYZ format:
```
20
Lattice="-5.571 -0.034 2.745 -1.694 -10.227 -3.565 4.786 1.594 9.733" Properties=species:S:1:pos:R:3 pbc="T T T"
Nd 2.636 -0.842 7.402
Nd -3.964 -7.819 0.945
Sm -0.721 -8.445 4.904
Sm -2.086 -5.872 9.191
Sm 1.875 -3.036 4.712
Sm -2.317 -5.619 3.198
Sm -4.104 -0.237 5.165
Sm -2.739 -2.810 0.879
Er 1.564 -6.306 3.554
Er -0.601 -5.192 6.198
Er 1.638 -3.994 8.447
Er -3.885 -9.004 4.203
Er -3.678 -9.703 -1.836
Er -0.610 -1.771 7.728
Er -0.640 -6.889 0.580
Er -0.573 1.025 11.623
Er 0.090 0.328 5.359
Er -5.433 -4.682 1.115
Er 0.545 -3.461 1.521
Er -1.620 -2.347 4.166
```

***

A geometry-optimized Nd16Sm7Er6 structure, computed with GGA-PBE.

D(E_F) (states/eV per atom): 1.335

The structure in extended XYZ format:
```
29
Lattice="9.836 0.000 5.679 3.279 9.273 5.679 0.000 0.000 11.358" Properties=species:S:1:pos:R:3 pbc="T T T"
Nd 11.473 8.113 14.201
Nd 11.473 8.113 19.872
Nd 9.836 3.482 17.036
Nd 6.562 8.113 17.036
Nd 1.642 1.161 2.843
Nd 1.642 1.161 8.514
Nd 3.279 5.791 5.679
Nd 6.553 1.161 5.679
Nd 8.524 6.027 7.952
Nd 8.524 6.027 14.763
Nd 6.557 0.466 11.358
Nd 2.625 6.027 11.358
Nd 4.591 3.246 7.952
Nd 4.591 3.246 14.763
Nd 6.557 8.808 11.358
Nd 10.490 3.246 11.358
Sm 0.000 0.000 0.000
Sm 4.918 0.000 8.518
Sm 1.639 4.637 2.839
Sm 1.639 4.637 8.518
Sm 4.918 0.000 2.839
Sm 0.000 0.000 5.679
Sm 6.557 4.637 5.679
Er 5.008 6.828 8.674
Er 8.107 2.445 14.041
Er 8.107 2.445 8.674
Er 5.008 6.828 14.041
Er 9.656 6.828 11.358
Er 3.458 2.445 11.358
```

***

A geometry-optimized NdSm3Er3 structure, computed with GGA-PBE.

Offset from the most stable computed form (meV/atom): 0.0
D(E_F) (states/eV per atom): 1.528

The structure in extended XYZ format:
```
14
Lattice="-7.894 3.305 2.305 -3.460 -1.492 8.022 -0.711 6.488 5.996" Properties=species:S:1:pos:R:3 pbc="T T T"
Nd -4.177 2.874 5.651
Nd -7.888 5.427 10.672
Sm -7.707 1.985 6.626
Sm -3.443 2.831 9.347
Sm -5.229 6.453 6.186
Sm -6.836 1.848 10.137
Sm -8.622 5.470 6.976
Sm -4.358 6.316 9.697
Er -6.910 8.184 8.647
Er -5.110 3.815 12.200
Er -9.991 3.146 8.932
Er -2.074 5.155 7.391
Er -6.955 4.487 4.123
Er -5.155 0.117 7.676
```

***

A geometry-optimized Nd6Sm8Er structure, computed with GGA-PBE.

Offset from the most stable computed form (meV/atom): 50.9
D(E_F) (states/eV per atom): 1.438

The structure in extended XYZ format:
```
15
Lattice="-0.593 -0.541 6.602 -8.015 -5.038 -1.132 8.418 -4.459 0.390" Properties=species:S:1:pos:R:3 pbc="T T T"
Nd -4.898 -4.015 3.674
Nd -2.962 -7.495 3.563
Nd -0.931 -4.100 4.023
Nd 4.708 -6.022 2.186
Nd 2.773 -2.542 2.298
Nd 0.741 -5.937 1.837
Sm 1.616 -1.843 5.585
Sm 0.044 -7.431 4.986
Sm 5.677 -6.035 5.606
Sm -1.806 -8.195 0.276
Sm -0.234 -2.606 0.875
Sm -5.866 -4.002 0.255
Sm 2.416 -5.131 5.730
Sm -2.605 -4.907 0.131
Er -0.296 -0.270 3.301
```

***

| no. | energy of formation from the pure elements (eV/atom) |
| --- | --- |
| 1 | 0.61 |
| 2 | 0.16 |
| 3 | 0.15 |
| 4 | 0.22 |
| 5 | 0.20 |
| 6 | 0.16 |